[1]
PmNd2Tl2Hg2: optimized geometry, PBE-GGA.

Total magnetic moment ... 0.0 μB per formula unit
Calculated density ... 10.3 g/cm³
Total DFT energy (no corrections) ... -21.20 eV for the cell shown

The structure in CIF format:
```
data_PmNd2Tl2Hg2
_chemical_formula_sum 'Pm1 Nd2 Tl2 Hg2'
_cell_length_a 9.586
_cell_length_b 9.586
_cell_length_c 9.586
_cell_angle_alpha 30.49
_cell_angle_beta 30.49
_cell_angle_gamma 30.49
_space_group_name_H-M_alt 'P 1'
_space_group_IT_number 1
loop_
_space_group_symop_operation_xyz
'x,y,z'
loop_
_atom_site_label
_atom_site_type_symbol
_atom_site_fract_x
_atom_site_fract_y
_atom_site_fract_z
Pm1 Pm 0.000 0.000 0.000
Nd1 Nd 0.134 0.134 0.134
Nd2 Nd 0.866 0.866 0.866
Tl1 Tl 0.274 0.274 0.274
Tl2 Tl 0.726 0.726 0.726
Hg1 Hg 0.430 0.430 0.430
Hg2 Hg 0.570 0.570 0.570
```

[2]
Pm3Nd3Tl2Hg: optimized geometry, PBE-GGA.

Total magnetic moment ... 0.0 μB per formula unit
Calculated density ... 8.8 g/cm³
Total DFT energy (no corrections) ... -36.12 eV for the cell shown

The structure in CIF format:
```
data_Pm3Nd3Tl2Hg
_chemical_formula_sum 'Pm3 Nd3 Tl2 Hg1'
_cell_length_a 9.147
_cell_length_b 9.147
_cell_length_c 3.858
_cell_angle_alpha 90.00
_cell_angle_beta 90.00
_cell_angle_gamma 120.00
_space_group_name_H-M_alt 'P 1'
_space_group_IT_number 1
loop_
_space_group_symop_operation_xyz
'x,y,z'
loop_
_atom_site_label
_atom_site_type_symbol
_atom_site_fract_x
_atom_site_fract_y
_atom_site_fract_z
Pm1 Pm 0.000 0.725 0.000
Pm2 Pm 0.275 0.275 0.000
Pm3 Pm 0.725 0.000 0.000
Nd1 Nd 0.000 0.392 0.500
Nd2 Nd 0.392 0.000 0.500
Nd3 Nd 0.608 0.608 0.500
Tl1 Tl 0.333 0.667 0.000
Tl2 Tl 0.667 0.333 0.000
Hg1 Hg 0.000 0.000 0.500
```

[3]
Pm2NdTmHg4: optimized geometry, PBE-GGA.

Total magnetic moment ... 1.4 μB per formula unit
Calculated density ... 10.7 g/cm³
Total DFT energy (no corrections) ... -23.67 eV for the cell shown

The structure in CIF format:
```
data_Pm2NdTmHg4
_chemical_formula_sum 'Pm2 Nd1 Tm1 Hg4'
_cell_length_a 9.326
_cell_length_b 9.326
_cell_length_c 9.326
_cell_angle_alpha 33.28
_cell_angle_beta 33.28
_cell_angle_gamma 33.28
_space_group_name_H-M_alt 'P 1'
_space_group_IT_number 1
loop_
_space_group_symop_operation_xyz
'x,y,z'
loop_
_atom_site_label
_atom_site_type_symbol
_atom_site_fract_x
_atom_site_fract_y
_atom_site_fract_z
Pm1 Pm 0.249 0.249 0.249
Pm2 Pm 0.751 0.751 0.751
Nd1 Nd 0.000 0.000 0.000
Tm1 Tm 0.500 0.500 0.500
Hg1 Hg 0.127 0.127 0.127
Hg2 Hg 0.378 0.378 0.378
Hg3 Hg 0.622 0.622 0.622
Hg4 Hg 0.873 0.873 0.873
```

Please write out number 3 again, unchanged.
Pm2NdTmHg4: optimized geometry, PBE-GGA.

Total magnetic moment ... 1.4 μB per formula unit
Calculated density ... 10.7 g/cm³
Total DFT energy (no corrections) ... -23.67 eV for the cell shown

The structure in CIF format:
```
data_Pm2NdTmHg4
_chemical_formula_sum 'Pm2 Nd1 Tm1 Hg4'
_cell_length_a 9.326
_cell_length_b 9.326
_cell_length_c 9.326
_cell_angle_alpha 33.28
_cell_angle_beta 33.28
_cell_angle_gamma 33.28
_space_group_name_H-M_alt 'P 1'
_space_group_IT_number 1
loop_
_space_group_symop_operation_xyz
'x,y,z'
loop_
_atom_site_label
_atom_site_type_symbol
_atom_site_fract_x
_atom_site_fract_y
_atom_site_fract_z
Pm1 Pm 0.249 0.249 0.249
Pm2 Pm 0.751 0.751 0.751
Nd1 Nd 0.000 0.000 0.000
Tm1 Tm 0.500 0.500 0.500
Hg1 Hg 0.127 0.127 0.127
Hg2 Hg 0.378 0.378 0.378
Hg3 Hg 0.622 0.622 0.622
Hg4 Hg 0.873 0.873 0.873
```

What did the second record say?
Pm3Nd3Tl2Hg: optimized geometry, PBE-GGA.

Total magnetic moment ... 0.0 μB per formula unit
Calculated density ... 8.8 g/cm³
Total DFT energy (no corrections) ... -36.12 eV for the cell shown

The structure in CIF format:
```
data_Pm3Nd3Tl2Hg
_chemical_formula_sum 'Pm3 Nd3 Tl2 Hg1'
_cell_length_a 9.147
_cell_length_b 9.147
_cell_length_c 3.858
_cell_angle_alpha 90.00
_cell_angle_beta 90.00
_cell_angle_gamma 120.00
_space_group_name_H-M_alt 'P 1'
_space_group_IT_number 1
loop_
_space_group_symop_operation_xyz
'x,y,z'
loop_
_atom_site_label
_atom_site_type_symbol
_atom_site_fract_x
_atom_site_fract_y
_atom_site_fract_z
Pm1 Pm 0.000 0.725 0.000
Pm2 Pm 0.275 0.275 0.000
Pm3 Pm 0.725 0.000 0.000
Nd1 Nd 0.000 0.392 0.500
Nd2 Nd 0.392 0.000 0.500
Nd3 Nd 0.608 0.608 0.500
Tl1 Tl 0.333 0.667 0.000
Tl2 Tl 0.667 0.333 0.000
Hg1 Hg 0.000 0.000 0.500
```

Number 3 is which compound? Pm2NdTmHg4

Which of these has the highest total magnetic moment? Pm2NdTmHg4